[1]
Entry from Alexandria: a geometry-optimized Ce2PrZn8 structure (GGA-PBE).

**Total magnetization**: 0.7 μB per cell
**Calculated formation energy**: -257.9 meV/atom
**Calculated volume**: 222.7 Å³/cell

a = 8.3315 Å, b = 8.3315 Å, c = 4.9030 Å
α = 107.09°, β = 107.09°, γ = 123.47°
Positions (direct):
Ce  0.1928  0.8072  0.0000
Ce  0.8072  0.1928  0.0000
Pr  0.5000  0.5000  0.5000
Zn  0.0002  0.0002  0.2534
Zn  0.9998  0.9998  0.7466
Zn  0.1537  0.3970  0.7751
Zn  0.2983  0.7017  0.5000
Zn  0.3970  0.1537  0.7751
Zn  0.6030  0.8463  0.2249
Zn  0.7017  0.2983  0.5000
Zn  0.8463  0.6030  0.2249

---

[2]
Entry from Alexandria: a geometry-optimized LaTiSe2O structure (GGA-PBE).

**Total magnetization**: 1.5 μB per cell
**Uncorrected formation energy**: -970 kJ/mol of formula units
**Calculated volume**: 211.2 Å³/cell

a = 3.9249 Å, b = 3.9249 Å, c = 13.7078 Å
α = 90.00°, β = 90.00°, γ = 90.00°
Positions (direct):
La  0.2500  0.2500  0.0946
La  0.7500  0.7500  0.9054
Ti  0.2500  0.2500  0.6004
Ti  0.7500  0.7500  0.3996
Se  0.2500  0.2500  0.4078
Se  0.2500  0.2500  0.7779
Se  0.7500  0.7500  0.2221
Se  0.7500  0.7500  0.5922
O  0.2500  0.7500  0.0000
O  0.7500  0.2500  0.0000

---

[3]
Entry from Alexandria: a geometry-optimized PmPuZrO6 structure (GGA-PBE).

**Total magnetization**: 6.0 μB per cell
**Uncorrected formation energy**: -2689 kJ/mol of formula units
**Calculated volume**: 272.2 Å³/cell

a = 5.6544 Å, b = 5.6544 Å, c = 9.8297 Å
α = 90.00°, β = 90.00°, γ = 120.00°
Positions (direct):
Pm  0.0000  0.0000  0.0000
Pm  0.0000  0.0000  0.5000
Pu  0.3333  0.6667  0.2500
Pu  0.6667  0.3333  0.7500
Zr  0.3333  0.6667  0.7500
Zr  0.6667  0.3333  0.2500
O  0.0016  0.3542  0.6377
O  0.0016  0.6474  0.8623
O  0.3526  0.3542  0.8623
O  0.3526  0.9984  0.6377
O  0.3542  0.0016  0.1377
O  0.3542  0.3526  0.3623
O  0.6458  0.6474  0.6377
O  0.6458  0.9984  0.8623
O  0.6474  0.0016  0.3623
O  0.6474  0.6458  0.1377
O  0.9984  0.3526  0.1377
O  0.9984  0.6458  0.3623

---

[4]
Entry from Alexandria: a geometry-optimized K3ZrTe4 structure (GGA-PBE).

**Total magnetization**: 0.0 μB per cell
**Uncorrected formation energy**: -674 kJ/mol of formula units
**Calculated volume**: 302.2 Å³/cell

a = 8.5552 Å, b = 8.5552 Å, c = 4.2516 Å
α = 90.00°, β = 90.00°, γ = 103.82°
Positions (direct):
K  0.0000  0.0000  0.0000
K  0.0000  0.5000  0.5000
K  0.5000  0.0000  0.5000
Zr  0.5000  0.5000  0.0000
Te  0.2832  0.7168  0.0000
Te  0.3039  0.3039  0.5000
Te  0.6961  0.6961  0.5000
Te  0.7168  0.2832  0.0000

---

[5]
Entry from Alexandria: a geometry-optimized CoCuRe2 structure (GGA-PBE).

**Total magnetization**: 1.2 μB per cell
**Calculated formation energy**: 262.3 meV/atom
**Calculated volume**: 52.8 Å³/cell

a = 3.6992 Å, b = 3.6992 Å, c = 3.8583 Å
α = 90.00°, β = 90.00°, γ = 90.00°
Positions (direct):
Co  0.0000  0.0000  0.0000
Cu  0.5000  0.5000  0.0000
Re  0.0000  0.5000  0.5000
Re  0.5000  0.0000  0.5000

---

[6]
Entry from Alexandria: a geometry-optimized Be3GeOs structure (GGA-PBE).

**Total magnetization**: 0.0 μB per cell
**Calculated formation energy**: 723.8 meV/atom
**Calculated volume**: 77.0 Å³/cell

a = 4.2536 Å, b = 4.2536 Å, c = 4.2536 Å
α = 90.00°, β = 90.00°, γ = 90.00°
Positions (direct):
Be  0.0000  0.0000  0.5000
Be  0.0000  0.5000  0.0000
Be  0.5000  0.0000  0.0000
Ge  0.5000  0.5000  0.5000
Os  0.0000  0.0000  0.0000

---

Computed values of theoretical density (unit: Mg/m³) for the preceding records, in sequence: 7.0; 5.7; 7.0; 4.0; 15.6; 6.3.